Nb2TcAs: optimized geometry, PBE.

Output
**Space-group type**: No. 216
**Total energy**: -141.0 eV per cell

Cell and atoms, written as POSCAR:
```
Nb2TcAs
1.0
6.382 0.000 0.000
0.000 6.382 0.000
0.000 0.000 6.382
Nb Tc As
8 4 4
Direct
0.000 0.000 0.000
0.000 0.500 0.500
0.250 0.250 0.250
0.250 0.750 0.750
0.500 0.000 0.500
0.500 0.500 0.000
0.750 0.250 0.750
0.750 0.750 0.250
0.250 0.250 0.750
0.250 0.750 0.250
0.750 0.250 0.250
0.750 0.750 0.750
0.000 0.000 0.500
0.000 0.500 0.000
0.500 0.000 0.000
0.500 0.500 0.500
```

=====

Na2CuF6: optimized geometry, PBE.

Output
**Space-group type**: No. 14
**Total energy**: -67.7 eV per cell

Cell and atoms, written as POSCAR:
```
Na2CuF6
1.0
5.103 0.000 0.000
0.000 5.318 0.000
-4.720 0.000 7.093
Na Cu F
4 2 12
Direct
0.224 0.062 0.248
0.224 0.438 0.748
0.776 0.562 0.252
0.776 0.938 0.752
0.500 0.000 0.000
0.500 0.500 0.500
0.169 0.196 0.961
0.169 0.304 0.461
0.271 0.713 0.966
0.271 0.787 0.466
0.331 0.009 0.749
0.331 0.491 0.249
0.669 0.509 0.751
0.669 0.991 0.251
0.729 0.213 0.534
0.729 0.287 0.034
0.831 0.696 0.539
0.831 0.804 0.039
```

=====

SmHgOs: optimized geometry, PBE.

Output
**Space-group type**: No. 216
**Energy of formation**: 405 meV/atom

Cell and atoms, written as POSCAR:
```
SmHgOs
1.0
6.671 0.000 0.000
0.000 6.671 0.000
0.000 0.000 6.671
Sm Hg Os
4 4 4
Direct
0.000 0.000 0.000
0.000 0.500 0.500
0.500 0.000 0.500
0.500 0.500 0.000
0.000 0.000 0.500
0.000 0.500 0.000
0.500 0.000 0.000
0.500 0.500 0.500
0.250 0.250 0.750
0.250 0.750 0.250
0.750 0.250 0.250
0.750 0.750 0.750
```

=====

Sm2HfN3: optimized geometry, PBE.

Output
**Space-group type**: No. 164
**Total energy**: -54.0 eV per cell

Cell and atoms, written as POSCAR:
```
Sm2HfN3
1.0
3.403 0.000 0.000
-1.701 2.947 0.000
0.000 0.000 8.552
Sm Hf N
2 1 3
Direct
0.333 0.667 0.329
0.667 0.333 0.671
0.000 0.000 0.000
0.000 0.000 0.500
0.333 0.667 0.862
0.667 0.333 0.138
```

=====

FeReTcAs: optimized geometry, PBE.

Output
**Space-group type**: No. 216
**Energy above the lowest structure with this stoichiometry**: 0.000 eV per atom

Cell and atoms, written as POSCAR:
```
FeReTcAs
1.0
6.090 0.000 0.000
0.000 6.090 0.000
0.000 0.000 6.090
Fe Re Tc As
4 4 4 4
Direct
0.000 0.000 0.000
0.000 0.500 0.500
0.500 0.000 0.500
0.500 0.500 0.000
0.250 0.250 0.250
0.250 0.750 0.750
0.750 0.250 0.750
0.750 0.750 0.250
0.000 0.000 0.500
0.000 0.500 0.000
0.500 0.000 0.000
0.500 0.500 0.500
0.250 0.250 0.750
0.250 0.750 0.250
0.750 0.250 0.250
0.750 0.750 0.750
```

=====

KHfCdAu: optimized geometry, PBE.

Output
**Space-group type**: No. 216
**Energy above the lowest structure with this stoichiometry**: 0.000 eV per atom

Cell and atoms, written as POSCAR:
```
KHfCdAu
1.0
7.254 0.000 0.000
0.000 7.254 0.000
0.000 0.000 7.254
K Hf Cd Au
4 4 4 4
Direct
0.000 0.000 0.000
0.000 0.500 0.500
0.500 0.000 0.500
0.500 0.500 0.000
0.000 0.000 0.500
0.000 0.500 0.000
0.500 0.000 0.000
0.500 0.500 0.500
0.250 0.250 0.750
0.250 0.750 0.250
0.750 0.250 0.250
0.750 0.750 0.750
0.250 0.250 0.250
0.250 0.750 0.750
0.750 0.250 0.750
0.750 0.750 0.250
```

=====

BaNaMo: optimized geometry, PBE.

Output
**Space-group type**: No. 216
**Total energy**: -36.8 eV per cell

Cell and atoms, written as POSCAR:
```
BaNaMo
1.0
7.903 0.000 0.000
0.000 7.903 0.000
0.000 0.000 7.903
Ba Na Mo
4 4 4
Direct
0.000 0.000 0.000
0.000 0.500 0.500
0.500 0.000 0.500
0.500 0.500 0.000
0.250 0.250 0.250
0.250 0.750 0.750
0.750 0.250 0.750
0.750 0.750 0.250
0.250 0.250 0.750
0.250 0.750 0.250
0.750 0.250 0.250
0.750 0.750 0.750
```

=====

Ho4GaSe3: optimized geometry, PBE.

Output
**Space-group type**: No. 221
**Total energy**: -43.8 eV per cell

Cell and atoms, written as POSCAR:
```
Ho4GaSe3
1.0
5.772 0.000 0.000
0.000 5.772 0.000
0.000 0.000 5.772
Ho Ga Se
4 1 3
Direct
0.000 0.000 0.000
0.000 0.500 0.500
0.500 0.000 0.500
0.500 0.500 0.000
0.500 0.500 0.500
0.000 0.000 0.500
0.000 0.500 0.000
0.500 0.000 0.000
```

=====

Fe4C: optimized geometry, PBE.

Output
**Space-group type**: No. 87
**Energy above the lowest structure with this stoichiometry**: 0.227 eV per atom

Cell and atoms, written as POSCAR:
```
Fe4C
1.0
6.256 0.000 0.000
0.000 6.256 0.000
0.000 0.000 2.811
Fe C
8 2
Direct
0.082 0.715 0.000
0.215 0.418 0.500
0.285 0.082 0.000
0.418 0.785 0.500
0.582 0.215 0.500
0.715 0.918 0.000
0.785 0.582 0.500
0.918 0.285 0.000
0.000 0.000 0.000
0.500 0.500 0.500
```

=====

Hf2ZrNi4Sn4: optimized geometry, PBE.

Output
**Space-group type**: No. 71
**Total energy**: -71.1 eV per cell

Cell and atoms, written as POSCAR:
```
Hf2ZrNi4Sn4
1.0
-2.089 3.443 6.849
2.089 -3.443 6.849
2.089 3.443 -6.849
Hf Zr Ni Sn
2 1 4 4
Direct
0.132 0.132 0.000
0.868 0.868 0.000
0.500 0.000 0.500
0.118 0.320 0.798
0.479 0.680 0.798
0.521 0.320 0.202
0.882 0.680 0.202
0.206 0.500 0.706
0.290 0.790 0.500
0.710 0.210 0.500
0.794 0.500 0.294
```

=====

HfBi2: optimized geometry, PBE.

Output
**Space-group type**: No. 58
**Total energy**: -35.2 eV per cell

Cell and atoms, written as POSCAR:
```
HfBi2
1.0
6.398 0.000 0.000
0.000 7.522 0.000
0.000 0.000 3.869
Hf Bi
2 4
Direct
0.000 0.000 0.000
0.500 0.500 0.500
0.184 0.365 0.000
0.316 0.865 0.500
0.684 0.135 0.500
0.816 0.635 0.000
```

=====

SrTbCuTe3: optimized geometry, PBE.

Output
**Space-group type**: No. 11
**Total energy**: -53.2 eV per cell

Cell and atoms, written as POSCAR:
```
SrTbCuTe3
1.0
8.523 0.000 0.000
0.000 4.341 0.000
-2.730 0.000 10.156
Sr Tb Cu Te
2 2 2 6
Direct
0.238 0.250 0.297
0.762 0.750 0.703
0.307 0.750 0.839
0.693 0.250 0.161
0.076 0.250 0.588
0.924 0.750 0.412
0.056 0.250 0.839
0.247 0.750 0.540
0.429 0.750 0.147
0.571 0.250 0.853
0.753 0.250 0.460
0.944 0.750 0.161
```

=====

Nd2DyGe3PdPt2: optimized geometry, PBE.

Output
**Space-group type**: No. 38
**Total energy**: -54.0 eV per cell

Cell and atoms, written as POSCAR:
```
Nd2DyGe3PdPt2
1.0
3.993 0.000 0.000
0.000 6.340 3.681
0.000 -6.340 3.681
Nd Dy Ge Pd Pt
2 1 3 1 2
Direct
0.000 0.204 0.796
0.000 0.796 0.204
0.000 0.612 0.612
0.500 0.209 0.457
0.500 0.457 0.209
0.500 0.952 0.952
0.000 0.212 0.212
0.500 0.541 0.863
0.500 0.863 0.541
```

=====

Y4Ta2Sb3C3: optimized geometry, PBE.

Output
**Space-group type**: No. 15
**Total energy**: -192.8 eV per cell

Cell and atoms, written as POSCAR:
```
Y4Ta2Sb3C3
1.0
5.276 -3.073 0.000
5.276 3.073 0.000
-3.647 0.000 14.419
Y Ta Sb C
8 4 6 6
Direct
0.043 0.188 0.094
0.122 0.302 0.406
0.188 0.043 0.594
0.302 0.122 0.906
0.698 0.878 0.094
0.812 0.957 0.406
0.878 0.698 0.594
0.957 0.812 0.906
0.348 0.525 0.074
0.475 0.652 0.426
0.525 0.348 0.574
0.652 0.475 0.926
0.127 0.873 0.250
0.286 0.416 0.753
0.416 0.286 0.253
0.584 0.714 0.747
0.714 0.584 0.247
0.873 0.127 0.750
0.000 0.500 0.000
0.206 0.647 0.500
0.353 0.794 0.000
0.500 0.000 0.500
0.647 0.206 0.000
0.794 0.353 0.500
```

=====

NbIn2GaS6: optimized geometry, PBE.

Output
**Space-group type**: No. 11
**Total energy**: -98.2 eV per cell

Cell and atoms, written as POSCAR:
```
NbIn2GaS6
1.0
10.820 0.000 0.000
0.000 3.565 0.000
-4.957 0.000 11.718
Nb In Ga S
2 4 2 12
Direct
0.188 0.250 0.063
0.812 0.750 0.937
0.047 0.750 0.286
0.405 0.750 0.848
0.595 0.250 0.152
0.953 0.250 0.714
0.272 0.250 0.593
0.728 0.750 0.407
0.041 0.750 0.918
0.079 0.250 0.433
0.211 0.250 0.753
0.236 0.750 0.216
0.351 0.750 0.043
0.414 0.750 0.628
0.586 0.250 0.372
0.649 0.250 0.957
0.764 0.250 0.784
0.789 0.750 0.247
0.921 0.750 0.567
0.959 0.250 0.082
```

=====

ScHgB4: optimized geometry, PBE.

Output
**Space-group type**: No. 191
**Energy above the lowest structure with this stoichiometry**: 0.095 eV per atom

Cell and atoms, written as POSCAR:
```
ScHgB4
1.0
3.147 0.000 0.000
-1.574 2.726 0.000
0.000 0.000 7.773
Sc Hg B
1 1 4
Direct
0.000 0.000 0.000
0.000 0.000 0.500
0.333 0.667 0.216
0.333 0.667 0.784
0.667 0.333 0.216
0.667 0.333 0.784
```

=====

TaBNO: optimized geometry, PBE.

Output
**Space-group type**: No. 26
**Energy above the lowest structure with this stoichiometry**: 0.054 eV per atom

Cell and atoms, written as POSCAR:
```
TaBNO
1.0
2.706 0.000 0.000
0.000 6.110 0.000
0.000 0.000 4.361
Ta B N O
2 2 2 2
Direct
0.000 0.135 0.000
0.000 0.865 0.500
0.500 0.364 0.552
0.500 0.636 0.052
0.000 0.238 0.495
0.000 0.762 0.995
0.500 0.415 0.905
0.500 0.585 0.405
```

=====

PuAgIr: optimized geometry, PBE.

Output
**Space-group type**: No. 216
**Energy above the lowest structure with this stoichiometry**: 0.362 eV per atom
**Energy of formation**: 403 meV/atom

Cell and atoms, written as POSCAR:
```
PuAgIr
1.0
6.463 0.000 0.000
0.000 6.463 0.000
0.000 0.000 6.463
Pu Ag Ir
4 4 4
Direct
0.000 0.000 0.000
0.000 0.500 0.500
0.500 0.000 0.500
0.500 0.500 0.000
0.250 0.250 0.750
0.250 0.750 0.250
0.750 0.250 0.250
0.750 0.750 0.750
0.250 0.250 0.250
0.250 0.750 0.750
0.750 0.250 0.750
0.750 0.750 0.250
```

=====

Y2Lu4Tl3N3: optimized geometry, PBE.

Output
**Space-group type**: No. 15
**Total energy**: -151.0 eV per cell

Cell and atoms, written as POSCAR:
```
Y2Lu4Tl3N3
1.0
5.219 -3.013 0.000
5.219 3.013 0.000
-3.488 0.000 15.396
Y Lu Tl N
4 8 6 6
Direct
0.030 0.866 0.590
0.134 0.970 0.910
0.866 0.030 0.090
0.970 0.134 0.410
0.194 0.358 0.082
0.303 0.475 0.418
0.358 0.194 0.582
0.475 0.303 0.918
0.525 0.697 0.082
0.642 0.806 0.418
0.697 0.525 0.582
0.806 0.642 0.918
0.084 0.272 0.750
0.272 0.084 0.250
0.439 0.561 0.750
0.561 0.439 0.250
0.728 0.916 0.750
0.916 0.728 0.250
0.000 0.500 0.500
0.172 0.657 0.000
0.343 0.828 0.500
0.500 0.000 0.000
0.657 0.172 0.500
0.828 0.343 0.000
```

=====

CsKCd2As2: optimized geometry, PBE.

Output
**Space-group type**: No. 99
**Total energy**: -15.5 eV per cell

Cell and atoms, written as POSCAR:
```
CsKCd2As2
1.0
4.650 0.000 0.000
0.000 4.650 0.000
0.000 0.000 8.422
Cs K Cd As
1 1 2 2
Direct
0.000 0.000 0.000
0.500 0.500 0.695
0.000 0.500 0.363
0.500 0.000 0.363
0.000 0.000 0.559
0.500 0.500 0.171
```

=====

KNa2Hg: optimized geometry, PBE.

Output
**Space-group type**: No. 11
**Energy above the lowest structure with this stoichiometry**: 0.000 eV per atom

Cell and atoms, written as POSCAR:
```
KNa2Hg
1.0
5.046 0.000 0.000
0.000 9.329 0.000
-2.523 0.000 6.183
K Na Hg
2 4 2
Direct
0.061 0.250 0.122
0.939 0.750 0.878
0.347 0.057 0.695
0.347 0.443 0.695
0.653 0.557 0.305
0.653 0.943 0.305
0.227 0.750 0.453
0.773 0.250 0.547
```

=====

Cu4Ag: optimized geometry, PBE.

Output
**Space-group type**: No. 1
**Energy above the lowest structure with this stoichiometry**: 0.024 eV per atom
**Energy of formation**: 68 meV/atom

Cell and atoms, written as POSCAR:
```
Cu4Ag
1.0
4.568 0.000 0.000
-2.208 6.599 0.000
-1.513 -2.677 8.673
Cu Ag
16 4
Direct
0.000 0.000 0.000
0.000 0.483 0.729
0.013 0.004 0.494
0.021 0.495 0.258
0.203 0.195 0.786
0.205 0.693 0.540
0.214 0.188 0.299
0.396 0.387 0.581
0.408 0.912 0.849
0.419 0.901 0.358
0.597 0.104 0.642
0.611 0.595 0.396
0.635 0.098 0.154
0.806 0.294 0.443
0.811 0.282 0.935
0.822 0.807 0.214
0.210 0.706 0.055
0.420 0.385 0.100
0.599 0.589 0.886
0.808 0.803 0.690
```

=====

YCoSnW: optimized geometry, PBE.

Output
**Space-group type**: No. 216
**Energy above the lowest structure with this stoichiometry**: 0.164 eV per atom

Cell and atoms, written as POSCAR:
```
YCoSnW
1.0
6.679 0.000 0.000
0.000 6.679 0.000
0.000 0.000 6.679
Y Co Sn W
4 4 4 4
Direct
0.000 0.000 0.000
0.000 0.500 0.500
0.500 0.000 0.500
0.500 0.500 0.000
0.000 0.000 0.500
0.000 0.500 0.000
0.500 0.000 0.000
0.500 0.500 0.500
0.250 0.250 0.250
0.250 0.750 0.750
0.750 0.250 0.750
0.750 0.750 0.250
0.250 0.250 0.750
0.250 0.750 0.250
0.750 0.250 0.250
0.750 0.750 0.750
```

=====

Number 1: density 9.2 g/cm³. Number 2: density 3.9 g/cm³. Number 3: density 12.1 g/cm³. Number 4: density 10.1 g/cm³. Number 5: density 12.2 g/cm³. Number 6: density 9.2 g/cm³. Number 7: density 3.4 g/cm³. Number 8: density 8.3 g/cm³. Number 9: density 7.1 g/cm³. Number 10: density 9.8 g/cm³. Number 11: density 10.6 g/cm³. Number 12: density 6.1 g/cm³. Number 13: density 10.4 g/cm³. Number 14: density 7.9 g/cm³. Number 15: density 4.3 g/cm³. Number 16: density 7.2 g/cm³. Number 17: density 10.2 g/cm³. Number 18: density 13.4 g/cm³. Number 19: density 10.5 g/cm³. Number 20: density 5.0 g/cm³. Number 21: density 3.3 g/cm³. Number 22: density 9.2 g/cm³. Number 23: density 10.0 g/cm³.